[1]
PuVTcW | GGA-PBE | relaxed

```
PuVTcW
1.0
4.539 0.000 0.000
2.269 3.931 0.000
2.269 1.310 3.706
Pu W V Tc
1 1 1 1
Cartesian
2.269 1.310 0.926 Pu
6.808 3.931 2.779 W
4.539 2.620 1.853 V
0.000 0.000 0.000 Tc
```

Properties
Total DFT energy (no corrections) (eV/atom): -11.525
Spin magnetization (Bohr magnetons per cell): 3.68
Density (g/cm3): 14.49
E_form (kJ per mole of atoms): 16.1

***

[2]
PuTcW | GGA-PBE | relaxed

```
PuTcW
1.0
-0.577 2.805 1.223
-3.043 -0.655 0.066
2.391 -3.240 4.597
Pu W Tc
1 1 1
Cartesian
0.001 -0.004 0.010 Pu
0.361 -1.348 3.264 W
-1.593 0.262 2.611 Tc
```

Properties
Total DFT energy (no corrections) (eV/atom): -12.355
Spin magnetization (Bohr magnetons per cell): 4.85
ΔE to the lowest computed polymorph (meV per atom): 0
Density (g/cm3): 15.80
E_form (kJ per mole of atoms): 18.9

***

[3]
PuTc2W | GGA-PBE | relaxed

```
PuTc2W
1.0
3.146 0.000 0.000
0.000 3.146 0.000
0.000 0.000 6.966
Tc W Pu
2 1 1
Cartesian
0.000 0.000 5.435 Tc
0.000 0.000 1.531 Tc
1.573 1.573 0.000 W
1.573 1.573 3.483 Pu
```

Properties
Total DFT energy (no corrections) (eV/atom): -11.922
Spin magnetization (Bohr magnetons per cell): 4.27
Density (g/cm3): 15.03
E_form (kJ per mole of atoms): 7.9